# LaTaV2O8, optimized geometry, DFT PBE+U
data_LaTaV2O8
_cell_length_a 7.467
_cell_length_b 6.317
_cell_length_c 6.934
_cell_angle_alpha 90.00
_cell_angle_beta 98.46
_cell_angle_gamma 90.00
_symmetry_space_group_name_H-M 'C 1 2/m 1'
_symmetry_Int_Tables_number 12
_symmetry_space_group_name_Hall '-C 2y'
loop_
_atom_site_label
_atom_site_type_symbol
_atom_site_fract_x
_atom_site_fract_y
_atom_site_fract_z
_atom_site_occupancy
La1 La 0.000 0.000 0.000 1
Ta1 Ta 0.000 0.000 0.500 1
V1 V 0.054 0.500 0.231 1
O1 O 0.002 0.217 0.284 1
O2 O 0.167 0.500 0.010 1
O3 O 0.237 0.500 0.445 1
# - uncorrected energy (eV/cell) = -202.56